[1]
The following is a DFT calculation (PBE-GGA) of a relaxed structure of GdTcNO.

Results
density	8.336	g/cm3
energy above the most stable polymorph in this dataset	378.5	meV/atom
calculated volume	14.2	Å³/atom

Cell and atoms, written as POSCAR:
```
GdTcNO
1.0
4.9677 0.0000 0.0000
0.0000 6.1173 0.0000
0.0000 0.0000 7.4794
Gd N O Tc
4 4 4 4
Cartesian
0.1269 0.3501 1.1912
2.6107 2.7086 1.1912
0.1269 3.4087 6.2882
2.6107 5.7672 6.2882
2.5851 0.3533 1.0225
0.1012 2.7054 1.0225
2.5851 3.4119 6.4569
0.1012 5.7640 6.4569
3.2107 3.4763 3.4094
0.7268 5.6996 3.4094
3.2107 0.4177 4.0700
0.7268 2.6410 4.0700
0.0506 3.8695 2.5078
2.5344 5.3065 2.5078
0.0506 0.8108 4.9716
2.5344 2.2478 4.9716
```

---

[2]
The following is a DFT calculation (PBE-GGA) of a relaxed structure of PaTlRe.

Results
density	13.752	g/cm3
energy above the most stable polymorph in this dataset	47.4	meV/atom
calculated volume	25.0	Å³/atom

Cell and atoms, written as POSCAR:
```
PaTlRe
1.0
0.0000 3.3480 3.3480
3.3480 0.0000 3.3480
3.3480 3.3480 0.0000
Pa Re Tl
1 1 1
Cartesian
1.6740 1.6740 1.6740
5.0221 5.0221 5.0221
0.0000 0.0000 0.0000
```

---

[3]
The following is a DFT calculation (PBE-GGA) of a relaxed structure of SmHoB2Ir2O2.

Results
density	11.678	g/cm3
calculated volume	13.4	Å³/atom

Cell and atoms, written as POSCAR:
```
SmHoB2Ir2O2
1.0
-1.9894 0.4083 3.2486
-3.2740 -0.2839 -1.9693
0.0587 -7.2362 0.9455
B Ho Ir O Sm
2 1 2 2 1
Cartesian
0.0204 -2.5133 0.3284
-2.5934 -4.6546 1.2560
-2.6207 -1.2909 0.8164
-0.9655 -3.3921 2.0942
-1.6078 -3.7382 -0.5148
0.0082 -1.0137 0.1325
-2.5810 -6.1847 1.4559
0.0479 -5.9084 0.7720
```

---

[4]
The following is a DFT calculation (PBE-GGA) of a relaxed structure of YErCo.

Results
density	6.938	g/cm3
ΔE_f	0.05	eV/atom
calculated volume	25.1	Å³/atom

Cell and atoms, written as POSCAR:
```
YErCo
1.0
4.7178 0.0000 0.0000
0.0000 4.7178 0.0000
0.0000 0.0000 6.7768
Co Er Y
2 2 2
Cartesian
2.3589 0.0000 0.0000
0.0000 2.3589 3.3884
0.0000 0.0000 0.0000
0.0000 0.0000 3.3884
2.3589 2.3589 1.6942
2.3589 2.3589 5.0826
```

---

[5]
The following is a DFT calculation (PBE-GGA) of a relaxed structure of Hg2OsPb.

Results
density	15.435	g/cm3
calculated volume	21.5	Å³/atom

Cell and atoms, written as POSCAR:
```
Hg2OsPb
1.0
0.9555 -1.2628 4.6930
-2.3113 2.3281 3.7107
-3.4237 -2.3845 2.6691
Hg Os Pb
2 1 1
Cartesian
0.0000 0.0000 0.0000
-3.5846 -0.9894 8.3046
-1.1949 -0.3298 2.7682
-2.3897 -0.6596 5.5364
```

---

[6]
The following is a DFT calculation (PBE-GGA) of a relaxed structure of NaTcMoPb.

Results
density	9.968	g/cm3
energy above the most stable polymorph in this dataset	0.0	meV/atom
calculated volume	17.7	Å³/atom

Cell and atoms, written as POSCAR:
```
NaTcMoPb
1.0
-2.9109 1.7001 3.1889
-0.6156 4.5844 0.3701
-4.0179 1.9149 -1.3123
Mo Na Pb Tc
1 1 1 1
Cartesian
0.0000 0.0000 0.0000
-5.6583 6.1495 1.6850
-3.7722 4.0997 1.1233
-1.8861 2.0498 0.5617
```

---

[7]
The following is a DFT calculation (PBE-GGA) of a relaxed structure of SrSmNi2Sn4.

Results
density	7.319	g/cm3
calculated volume	23.5	Å³/atom

Cell and atoms, written as POSCAR:
```
SrSmNi2Sn4
1.0
4.5259 0.0000 0.0000
0.0000 2.2466 9.2620
0.0000 -2.2466 9.2620
Ni Sm Sn Sr
2 1 4 1
Cartesian
2.2630 0.0000 5.9298
0.0000 0.0000 12.6445
0.0000 0.0000 16.4533
0.0000 0.0000 4.6794
2.2630 0.0000 8.3746
0.0000 0.0000 10.1083
2.2630 0.0000 13.9035
2.2630 0.0000 2.0022
```

---

[8]
The following is a DFT calculation (PBE-GGA) of a relaxed structure of CuAg4.

Results
density	9.745	g/cm3
energy above the most stable polymorph in this dataset	28.2	meV/atom
ΔE_f	0.05	eV/atom
calculated volume	16.9	Å³/atom

Cell and atoms, written as POSCAR:
```
CuAg4
1.0
6.3977 0.0000 0.0000
0.0000 4.0761 0.0000
-0.0568 0.0000 6.4695
Ag Cu
8 2
Cartesian
0.9352 3.0570 0.3080
2.8351 1.0190 0.9894
4.8520 3.0570 1.6894
2.1153 3.0570 2.9042
4.2256 1.0190 3.5653
1.4890 1.0190 4.7801
3.5059 3.0570 5.4801
5.4058 1.0190 6.1615
0.2814 1.0190 2.3049
6.0595 3.0570 4.1646
```

---

[9]
The following is a DFT calculation (PBE-GGA) of a relaxed structure of TmNbN2O.

Results
density	8.241	g/cm3
calculated volume	12.3	Å³/atom

Cell and atoms, written as POSCAR:
```
TmNbN2O
1.0
-1.5861 -7.4726 -2.2102
6.6618 -2.3822 3.2733
-2.2563 6.1132 9.0409
N Nb O Tm
16 8 8 8
Cartesian
2.7966 -3.5989 1.0738
-0.3841 -1.5549 -0.2832
1.6028 -0.7952 1.6604
4.2146 -0.8669 4.4049
-0.4899 -5.8516 1.0691
2.9618 -6.2237 4.2264
1.0486 -4.0693 4.2536
-2.1067 -2.0344 2.9090
4.9261 -1.7072 7.1949
1.7707 0.3277 5.8504
-0.1425 2.4821 5.8776
3.3093 2.1100 9.0348
-1.3952 -2.8747 5.6991
1.2165 -2.9464 8.4436
3.2034 -2.1867 10.3871
0.0228 -0.1426 9.0301
3.6809 -7.5747 0.7297
0.3859 -6.3417 -0.6793
3.6191 -0.4771 6.2911
0.1302 0.8253 4.7867
2.6892 -4.5669 5.3172
-0.7998 -3.2645 3.8129
2.4334 2.6001 10.7832
-0.8615 3.8331 9.3742
4.4730 -5.7925 1.7704
3.8250 -3.5157 3.6991
0.2076 -3.3129 1.9262
0.3111 -1.3048 4.2241
2.5083 -2.4368 5.8798
2.6118 -0.4287 8.1777
-1.0056 -0.2259 6.4049
-1.6536 2.0509 8.3335
-1.4091 -3.7768 0.4851
1.5412 -5.1674 2.1849
5.5935 -2.7706 4.9646
2.2883 -1.9242 3.5908
0.5310 -1.8174 6.5132
-2.7741 -0.9710 5.1393
1.2781 1.4258 7.9190
4.2285 0.0352 9.6189
```

---

[10]
The following is a DFT calculation (PBE-GGA) of a relaxed structure of TcAs2.

Results
density	2.785	g/cm3
energy above the most stable polymorph in this dataset	435.8	meV/atom
calculated volume	49.3	Å³/atom

Cell and atoms, written as POSCAR:
```
TcAs2
1.0
3.7385 2.1584 6.1049
-3.7385 2.1584 6.1049
0.0000 -4.3168 6.1049
As Tc
4 2
Cartesian
0.0000 0.0000 6.8680
1.8692 1.0792 9.9205
-1.8692 1.0792 9.9205
0.0000 -2.1584 9.9205
0.0000 0.0000 4.5787
0.0000 0.0000 9.1574
```

---

[11]
The following is a DFT calculation (PBE-GGA) of a relaxed structure of Tb2DyAl3AgPt2.

Results
density	9.564	g/cm3
calculated volume	20.4	Å³/atom

Cell and atoms, written as POSCAR:
```
Tb2DyAl3AgPt2
1.0
3.9227 0.0000 0.0000
0.0000 6.3697 3.6804
0.0000 -6.3697 3.6804
Ag Al Dy Pt Tb
1 3 1 2 2
Cartesian
0.0000 0.0000 0.0051
1.9614 1.6379 0.9497
1.9614 -1.6379 0.9497
1.9614 0.0000 5.4634
0.0000 0.0000 3.0577
1.9614 2.1159 3.6781
1.9614 -2.1159 3.6781
0.0000 2.6450 5.8309
0.0000 -2.6450 5.8309
```

---

[12]
The following is a DFT calculation (PBE-GGA) of a relaxed structure of NaNdSm.

Results
density	4.680	g/cm3
energy above the most stable polymorph in this dataset	0.0	meV/atom
calculated volume	37.6	Å³/atom

Cell and atoms, written as POSCAR:
```
NaNdSm
1.0
-3.7157 -3.8606 -0.8264
-4.5199 -0.0971 2.9924
-4.7681 1.2639 -2.2497
Na Nd Sm
1 1 1
Cartesian
0.0000 0.0000 0.0000
-3.2509 -0.6735 -0.0209
-9.7528 -2.0204 -0.0627
```

---

[13]
The following is a DFT calculation (PBE-GGA) of a relaxed structure of NbSiPt.

Results
density	11.035	g/cm3
calculated volume	15.9	Å³/atom

Cell and atoms, written as POSCAR:
```
NbSiPt
1.0
-6.5965 0.1519 2.6610
3.9913 -5.8457 0.7170
1.1631 1.1398 2.8183
Nb Pt Si
3 3 3
Cartesian
-1.8226 0.0420 0.7352
1.1028 -1.6152 0.1981
-1.8853 -4.1206 2.4447
-3.4999 0.6639 3.0556
-0.4117 -1.6009 2.6971
3.0511 -3.0471 1.8528
-3.0672 -1.8473 2.0130
0.4621 -3.8465 1.3650
0.5816 0.5699 1.4091
```

---

[14]
The following is a DFT calculation (PBE-GGA) of a relaxed structure of CuGeAs.

Results
density	6.447	g/cm3
calculated volume	18.1	Å³/atom

Cell and atoms, written as POSCAR:
```
CuGeAs
1.0
0.0000 3.0069 3.0069
3.0069 0.0000 3.0069
3.0069 3.0069 0.0000
As Cu Ge
1 1 1
Cartesian
1.5034 1.5034 1.5034
0.0000 0.0000 0.0000
4.5104 4.5104 4.5104
```

---

[15]
The following is a DFT calculation (PBE-GGA) of a relaxed structure of LiFeBTe.

Results
density	6.016	g/cm3
energy above the most stable polymorph in this dataset	301.7	meV/atom
calculated volume	13.9	Å³/atom

Cell and atoms, written as POSCAR:
```
LiFeBTe
1.0
3.7878 -1.7078 1.0376
0.3563 -2.4611 3.4866
0.6327 -4.2157 -0.4102
B Fe Li Te
1 1 1 1
Cartesian
1.1942 -2.0961 1.0285
0.0000 0.0000 0.0000
3.5825 -6.2884 3.0855
2.3883 -4.1923 2.0570
```

---

[16]
The following is a DFT calculation (PBE-GGA) of a relaxed structure of LuCuAgGe.

Results
density	9.634	g/cm3
energy above the most stable polymorph in this dataset	17.1	meV/atom
calculated volume	18.1	Å³/atom

Cell and atoms, written as POSCAR:
```
LuCuAgGe
1.0
4.4880 -1.2018 -0.5143
1.3413 -4.4113 0.7696
1.2989 -2.7068 -3.5828
Ag Cu Ge Lu
1 1 1 1
Cartesian
1.7820 -2.0800 -0.8319
5.3461 -6.2400 -2.4956
0.0000 0.0000 0.0000
3.5641 -4.1600 -1.6637
```

---

[17]
The following is a DFT calculation (PBE-GGA) of a relaxed structure of NdAlGa2Ir.

Results
density	8.901	g/cm3
calculated volume	18.8	Å³/atom

Cell and atoms, written as POSCAR:
```
NdAlGa2Ir
1.0
-2.0237 2.0237 5.7270
2.0237 -2.0237 5.7270
2.0237 2.0237 -5.7270
Al Ga Ir Nd
1 2 1 1
Cartesian
0.0000 0.0000 0.0000
0.0000 2.0237 1.5728
0.0000 2.0237 4.1543
0.0000 0.0000 5.7270
2.0237 0.0000 2.8635
```

---

[18]
The following is a DFT calculation (PBE-GGA) of a relaxed structure of Lu2AlC.

Results
density	8.015	g/cm3
calculated volume	20.1	Å³/atom

Cell and atoms, written as POSCAR:
```
Lu2AlC
1.0
5.1909 -2.9939 0.0000
5.1909 2.9939 0.0000
-3.4520 0.0000 15.5537
Al C Lu
6 6 12
Cartesian
1.8187 0.9426 3.8871
4.3279 2.5633 3.8884
6.8372 0.9426 3.8898
0.0927 -0.9426 11.6639
2.6019 -2.5633 11.6652
5.1112 -0.9426 11.6666
2.5955 -1.4969 0.0000
6.0337 -1.4588 0.0020
2.6222 -1.4588 7.7748
0.8695 1.4969 7.7768
4.3077 1.4588 7.7788
0.8962 1.4588 15.5517
7.7795 -0.4958 1.2662
0.8651 -0.5099 1.2664
4.3372 -0.4911 1.4101
4.3186 -0.4911 6.3668
7.7908 -0.5099 6.5104
0.8764 -0.4958 6.5106
6.0535 0.4958 9.0431
-0.8609 0.5099 9.0432
2.6112 0.4911 9.1869
2.5926 0.4911 14.1436
6.0648 0.5099 14.2873
-0.8496 0.4958 14.2874
```

---

[19]
The following is a DFT calculation (PBE-GGA) of a relaxed structure of GdPuCl6.

Results
density	3.916	g/cm3
calculated volume	32.5	Å³/atom

Cell and atoms, written as POSCAR:
```
GdPuCl6
1.0
-1.6601 5.1871 4.4761
-5.0980 -3.8954 -2.9212
2.5812 -4.3180 4.1021
Cl Gd Pu
6 1 1
Cartesian
-5.1373 -1.6633 0.8652
-3.8604 1.5621 3.4945
-0.8807 -0.7962 1.3339
-3.3142 -2.2778 4.2841
0.9184 -1.3259 4.8195
-0.2561 -4.5770 2.1741
-2.2311 3.6785 3.2474
-4.5272 -2.3874 -1.6930
```

---

[20]
The following is a DFT calculation (PBE-GGA) of a relaxed structure of CoIr2Pt.

Results
density	18.319	g/cm3
ΔE_f	0.38	eV/atom
calculated volume	14.5	Å³/atom

Cell and atoms, written as POSCAR:
```
CoIr2Pt
1.0
0.0000 3.0701 3.0701
3.0701 0.0000 3.0701
3.0701 3.0701 0.0000
Co Ir Pt
1 2 1
Cartesian
1.5350 1.5350 1.5350
0.0000 0.0000 0.0000
4.6051 4.6051 4.6051
3.0701 3.0701 3.0701
```

---

[21]
The following is a DFT calculation (PBE-GGA) of a relaxed structure of Nd2GdCu4Sn4.

Results
density	8.177	g/cm3
calculated volume	21.7	Å³/atom

Cell and atoms, written as POSCAR:
```
Nd2GdCu4Sn4
1.0
2.5813 6.7832 4.5782
-1.5898 8.0491 -2.5140
-2.9614 -7.7161 2.3078
Cu Gd Nd Sn
4 1 2 4
Cartesian
0.2090 4.6282 2.8601
0.5423 9.6147 3.5540
-2.5123 -2.4986 0.8180
-2.1790 2.4879 1.5119
0.0000 0.0000 0.0000
-0.0585 1.5026 3.7170
-1.9115 5.6136 0.6550
0.2134 3.1923 0.4443
0.7781 11.6400 1.6199
0.4181 7.2256 2.4387
-2.3880 -0.1094 1.9333
```

---

[22]
The following is a DFT calculation (PBE-GGA) of a relaxed structure of BaTmTlS3.

Results
density	5.478	g/cm3
calculated volume	30.7	Å³/atom

Cell and atoms, written as POSCAR:
```
BaTmTlS3
1.0
0.0458 4.1667 -6.8419
-1.3956 -0.4691 7.8745
10.9529 3.3997 2.1437
Ba S Tl Tm
2 6 2 2
Cartesian
2.5593 4.2936 -4.0110
7.0439 2.8036 7.1872
-0.0962 3.6443 -5.1571
2.0601 2.6884 1.0848
5.3351 5.3302 -4.0941
4.2680 1.7671 7.2703
7.5430 4.4089 2.0914
9.6993 3.4530 8.3333
1.5343 0.9973 6.4534
8.0688 6.1000 -3.2771
-0.6749 1.8488 0.5163
4.8016 3.5486 1.5881
```

---

[23]
The following is a DFT calculation (PBE-GGA) of a relaxed structure of DyHo2FeNi8.

Results
density	9.862	g/cm3
ΔE_f	-0.36	eV/atom
calculated volume	14.3	Å³/atom

Cell and atoms, written as POSCAR:
```
DyHo2FeNi8
1.0
0.1887 7.0806 4.7690
2.7244 3.6097 7.2430
4.8776 6.0660 3.5110
Dy Fe Ho Ni
1 1 2 8
Cartesian
0.0000 0.0000 0.0000
3.8953 8.3781 7.7615
1.0821 2.3273 2.1560
6.7086 14.4290 13.3671
2.0985 6.7401 7.3053
2.5975 5.5868 5.1756
3.3325 10.5267 8.8509
4.6086 8.7799 10.0960
3.1820 7.9763 5.4271
4.4582 6.2295 6.6721
5.1932 11.1695 10.3474
5.6922 10.0161 8.2178
```

---

| no. | raw total energy (eV per atom) |
| --- | --- |
| 1 | -8.16 |
| 2 | -6.85 |
| 3 | -7.91 |
| 4 | -5.99 |
| 5 | -2.94 |
| 6 | -5.95 |
| 7 | -4.72 |
| 8 | -2.95 |
| 9 | -8.99 |
| 10 | -6.13 |
| 11 | -5.32 |
| 12 | -2.85 |
| 13 | -7.60 |
| 14 | -4.23 |
| 15 | -4.14 |
| 16 | -4.13 |
| 17 | -5.31 |
| 18 | -5.85 |
| 19 | -5.84 |
| 20 | -7.34 |
| 21 | -4.63 |
| 22 | -4.98 |
| 23 | -5.91 |